Entry 1:
# Ta2ReP, optimized geometry, DFT PBE
data_Ta2ReP
_chemical_formula_sum 'Ta4 Re2 P2'
_cell_length_a 3.145
_cell_length_b 4.268
_cell_length_c 9.586
_cell_angle_alpha 90.00
_cell_angle_beta 90.00
_cell_angle_gamma 90.00
_symmetry_space_group_name_H-M 'I m m 2'
_symmetry_Int_Tables_number 44
_symmetry_space_group_name_Hall 'I 2 -2'
loop_
_atom_site_label
_atom_site_type_symbol
_atom_site_fract_x
_atom_site_fract_y
_atom_site_fract_z
Ta1 Ta 0.000 0.000 0.000
Ta2 Ta 0.000 0.500 0.235
Re1 Re 0.000 0.000 0.486
P1 P 0.000 0.500 0.782
# Polymorph energy (0 for the lowest one) = 97 kJ/mol of formula units

Entry 2:
# TaReP, optimized geometry, DFT PBE
data_TaReP
_chemical_formula_sum 'Ta1 Re1 P1'
_cell_length_a 4.1875
_cell_length_b 4.1875
_cell_length_c 3.0027
_cell_angle_alpha 90.00
_cell_angle_beta 90.00
_cell_angle_gamma 120.00
_symmetry_space_group_name_H-M 'P -6 m 2'
_symmetry_Int_Tables_number 187
_symmetry_space_group_name_Hall 'P -6 2'
loop_
_atom_site_label
_atom_site_type_symbol
_atom_site_fract_x
_atom_site_fract_y
_atom_site_fract_z
Ta1 Ta 0.0000 0.0000 0.0000
Re1 Re 0.6667 0.3333 0.5000
P1 P 0.3333 0.6667 0.5000
# Polymorph energy (0 for the lowest one) = 0 kJ/mol of formula units

Entry 3:
# TaReP2, optimized geometry, DFT PBE
data_TaReP2
_chemical_formula_sum 'Ta1 Re1 P2'
_cell_length_a 3.082
_cell_length_b 3.695
_cell_length_c 5.264
_cell_angle_alpha 90.00
_cell_angle_beta 90.00
_cell_angle_gamma 90.00
_symmetry_space_group_name_H-M 'P m m m'
_symmetry_Int_Tables_number 47
_symmetry_space_group_name_Hall '-P 2 2'
loop_
_atom_site_label
_atom_site_type_symbol
_atom_site_fract_x
_atom_site_fract_y
_atom_site_fract_z
Ta1 Ta 0.000 0.000 0.000
Re1 Re 0.500 0.000 0.500
P1 P 0.500 0.500 0.225
# Polymorph energy (0 for the lowest one) = 151 kJ/mol of formula units

Entry 4:
# TaReP2, optimized geometry, DFT PBE
data_TaReP2
_chemical_formula_sum 'Ta1 Re1 P2'
_cell_length_a 4.128
_cell_length_b 3.005
_cell_length_c 5.134
_cell_angle_alpha 90.00
_cell_angle_beta 112.17
_cell_angle_gamma 90.00
_symmetry_space_group_name_H-M 'P 1 2/m 1'
_symmetry_Int_Tables_number 10
_symmetry_space_group_name_Hall '-P 2y'
loop_
_atom_site_label
_atom_site_type_symbol
_atom_site_fract_x
_atom_site_fract_y
_atom_site_fract_z
Ta1 Ta 0.000 0.000 0.000
Re1 Re 0.500 0.500 0.500
P1 P 0.000 0.000 0.500
P2 P 0.500 0.500 0.000
# Polymorph energy (0 for the lowest one) = 163 kJ/mol of formula units

no.,density (g/cm3),E (eV per cell),DFT formation energy (eV/atom)
1,14.95,-84.62,-0.19
2,14.50,-30.57,-0.29
3,11.89,-35.60,-0.12
4,12.08,-35.47,-0.09